KRePt | PBE-GGA | relaxed

abc: 2.7370 6.4996 6.6660
angles: 79.35 86.78 87.52
Element x y z (fractional)
K (0.1549, 0.3545, 0.1596)
K (0.8451, 0.6455, 0.8404)
Re (0.0305, 0.1180, 0.6219)
Re (0.9695, 0.8820, 0.3781)
Pt (0.5000, 0.0000, 0.0000)
Pt (0.5000, 0.5000, 0.5000)

Its space group is No. 2. Its density of states at the Fermi level is 1.2 states/eV/f.u. The calculation puts the energy relative to the lowest polymorph listed for this composition at 220 meV per atom. As for the formation energy: 0.4480 eV/atom. The total magnetization comes out at 0.00 Bohr magnetons per cell. The energy is -18.24 eV per formula unit.

KCo2Hg | PBE-GGA | relaxed

abc: 4.1468 4.1468 6.8717
angles: 107.63 107.63 60.02
Element x y z (fractional)
K (0.0000, 0.0000, 0.0000)
Co (0.4692, 0.4692, 0.4076)
Co (0.8021, 0.8021, 0.4063)
Hg (0.1953, 0.1953, 0.5854)

Its space group is No. 8. Its density of states at the Fermi level is 2.8 states/eV/f.u. As for the formation energy: 0.4326 eV/atom. The total magnetization comes out at 3.09 Bohr magnetons per cell. The energy is -13.88 eV per formula unit.

> What is the formula in the first record?

KRePt

Please write out number 1 again, unchanged.
KRePt | PBE-GGA | relaxed

abc: 2.7370 6.4996 6.6660
angles: 79.35 86.78 87.52
Element x y z (fractional)
K (0.1549, 0.3545, 0.1596)
K (0.8451, 0.6455, 0.8404)
Re (0.0305, 0.1180, 0.6219)
Re (0.9695, 0.8820, 0.3781)
Pt (0.5000, 0.0000, 0.0000)
Pt (0.5000, 0.5000, 0.5000)

Its space group is No. 2. Its density of states at the Fermi level is 1.2 states/eV/f.u. The calculation puts the energy relative to the lowest polymorph listed for this composition at 220 meV per atom. As for the formation energy: 0.4480 eV/atom. The total magnetization comes out at 0.00 Bohr magnetons per cell. The energy is -18.24 eV per formula unit.

> Number 2 is which compound?

KCo2Hg